[1]
A relaxed AcCe2TlRu crystal, computed with PBE.

Lattice parameters (Å, degrees): 5.272 5.272 5.894 90.00 90.00 90.00
Element x y z (fractional)
Ac  0.000  0.000  0.499
Ce  0.000  0.500  0.999
Ce  0.500  0.000  0.999
Ru  0.000  0.000  0.999
Tl  0.500  0.500  0.504

Calculated values
Energy of formation = -0.1779 eV/atom

=====

[2]
A relaxed AcCeZnRu crystal, computed with PBE.

Lattice parameters (Å, degrees): 5.167 5.167 5.167 60.00 60.00 60.00
Element x y z (fractional)
Ru  0.750  0.750  0.750
Ac  0.000  0.000  0.000
Zn  0.250  0.250  0.250
Ce  0.500  0.500  0.500

Calculated values
Energy of formation = -0.1207 eV/atom

=====

[3]
A relaxed AcCe5S6 crystal, computed with PBE.

Lattice parameters (Å, degrees): 7.058 7.058 7.065 99.61 99.61 119.99
Element x y z (fractional)
Ce  0.500  0.500  0.500
Ac  0.000  0.000  0.000
S  0.571  0.914  0.743
S  0.742  0.742  0.254
S  0.258  0.258  0.746
Ce  0.164  0.836  0.500
S  0.429  0.086  0.257
S  0.086  0.429  0.257
Ce  0.667  0.333  0.000
S  0.914  0.571  0.743
Ce  0.333  0.667  0.000
Ce  0.836  0.164  0.500

Calculated values
Raw formation energy = -2.017 eV per atom

=====

[4]
A relaxed AcCe3S6 crystal, computed with PBE.

Lattice parameters (Å, degrees): 7.204 7.532 10.407 90.00 87.05 90.00
Element x y z (fractional)
S  0.804  0.685  0.891
S  0.665  0.417  0.241
S  0.347  0.829  0.050
Ce  0.482  0.079  0.221
S  0.696  0.185  0.609
S  0.835  0.917  0.259
S  0.153  0.329  0.450
Ce  0.982  0.421  0.721
Ce  0.500  0.500  0.000
S  0.304  0.815  0.391
S  0.196  0.315  0.109
S  0.165  0.083  0.741
S  0.653  0.171  0.950
Ce  0.518  0.921  0.779
Ce  0.018  0.579  0.279
Ac  0.500  0.500  0.500
Ac  0.000  0.000  0.000
Ce  0.000  0.000  0.500
S  0.847  0.671  0.550
S  0.335  0.583  0.759

Calculated values
Raw formation energy = -1.923 eV per atom

=====

[5]
A relaxed AcCeS2 crystal, computed with PBE.

Lattice parameters (Å, degrees): 3.611 3.611 7.223 90.00 90.00 90.00
Element x y z (fractional)
S  0.000  0.000  0.239
Ac  0.500  0.500  0.500
Ce  0.500  0.500  0.000
S  0.000  0.000  0.761

Calculated values
Raw formation energy = -1.657 eV per atom

=====

[6]
A relaxed AcCeS2 crystal, computed with PBE.

Lattice parameters (Å, degrees): 4.048 4.048 7.761 74.88 74.88 60.00
Element x y z (fractional)
S  0.246  0.246  0.262
Ac  0.671  0.671  0.987
Ce  0.495  0.495  0.514
S  0.088  0.088  0.737

Calculated values
Raw formation energy = -1.876 eV per atom

=====

[7]
A relaxed AcCeS2 crystal, computed with PBE.

Lattice parameters (Å, degrees): 4.130 4.130 14.045 90.00 90.00 120.00
Element x y z (fractional)
S  0.333  0.667  0.115
Ac  0.667  0.333  0.250
Ac  0.333  0.667  0.750
Ce  0.000  0.000  0.000
S  0.333  0.667  0.385
Ce  0.000  0.000  0.500
S  0.667  0.333  0.885
S  0.667  0.333  0.615

Calculated values
Raw formation energy = -1.972 eV per atom

=====

[8]
A relaxed Ac6CeS8 crystal, computed with PBE.

Lattice parameters (Å, degrees): 8.569 8.569 8.569 60.00 60.00 60.00
Element x y z (fractional)
S  0.239  0.761  0.761
Ac  0.500  0.500  0.000
S  0.750  0.750  0.750
Ce  0.000  0.000  0.000
Ac  0.000  0.500  0.500
Ac  0.500  0.000  0.000
S  0.761  0.239  0.239
S  0.239  0.761  0.239
S  0.239  0.239  0.761
S  0.761  0.239  0.761
Ac  0.500  0.000  0.500
S  0.761  0.761  0.239
S  0.250  0.250  0.250
Ac  0.000  0.000  0.500
Ac  0.000  0.500  0.000

Calculated values
Raw formation energy = -2.022 eV per atom

=====

[9]
A relaxed AcCeS4 crystal, computed with PBE.

Lattice parameters (Å, degrees): 4.549 4.549 7.578 90.00 90.00 90.00
Element x y z (fractional)
S  0.000  0.500  0.768
S  0.500  0.000  0.768
S  0.500  0.000  0.232
Ce  0.000  0.000  0.000
S  0.000  0.500  0.232
Ac  0.000  0.000  0.500

Calculated values
Raw formation energy = -1.513 eV per atom

=====

[10]
A relaxed AcCeS4 crystal, computed with PBE.

Lattice parameters (Å, degrees): 7.101 7.707 7.633 115.03 112.11 100.13
Element x y z (fractional)
S  0.627  0.044  0.339
Ac  0.618  0.368  0.735
S  0.608  0.340  0.121
S  0.212  0.294  0.339
S  0.013  0.781  0.121
Ac  0.382  0.632  0.265
S  0.373  0.956  0.661
Ce  0.771  0.021  0.042
S  0.392  0.660  0.879
S  0.788  0.706  0.661
S  0.987  0.219  0.879
Ce  0.229  0.979  0.958

Calculated values
Raw formation energy = -1.608 eV per atom

=====

[11]
A relaxed AcCe3S4 crystal, computed with PBE.

Lattice parameters (Å, degrees): 4.095 7.112 7.112 70.60 90.00 90.00
Element x y z (fractional)
Ac  0.500  0.500  0.000
S  0.500  0.756  0.256
S  0.500  0.244  0.744
Ce  0.500  0.000  0.500
S  0.000  0.762  0.738
S  0.000  0.238  0.262
Ce  0.000  0.000  0.000
Ce  0.000  0.500  0.500

Calculated values
Raw formation energy = -2.008 eV per atom

=====

[12]
A relaxed AcCe4S5 crystal, computed with PBE.

Lattice parameters (Å, degrees): 4.080 7.072 9.138 75.08 77.10 73.23
Element x y z (fractional)
Ce  0.799  0.609  0.793
S  0.608  0.679  0.104
S  0.000  0.500  0.500
S  0.203  0.904  0.690
Ce  0.597  0.206  0.599
S  0.392  0.321  0.896
Ce  0.201  0.391  0.207
Ac  0.000  0.000  0.000
S  0.797  0.096  0.310
Ce  0.403  0.794  0.401

Calculated values
Raw formation energy = -2.015 eV per atom

=====

[13]
A relaxed Ac2Ce2S7 crystal, computed with PBE.

Lattice parameters (Å, degrees): 9.585 9.585 9.585 60.00 60.00 60.00
Element x y z (fractional)
Ac  0.125  0.625  0.625
Ce  0.125  0.125  0.125
S  0.220  0.780  0.220
S  0.030  0.470  0.470
S  0.500  0.500  0.500
Ce  0.625  0.125  0.125
S  0.780  0.220  0.220
S  0.780  0.780  0.220
Ac  0.625  0.625  0.125
S  0.220  0.220  0.780
S  0.470  0.030  0.470
S  0.470  0.470  0.030
Ac  0.625  0.625  0.625
Ac  0.625  0.125  0.625
S  0.780  0.220  0.780
Ce  0.125  0.125  0.625
S  0.750  0.750  0.750
S  0.220  0.780  0.780
S  0.030  0.030  0.470
Ce  0.125  0.625  0.125
S  0.470  0.030  0.030
S  0.030  0.470  0.030

Calculated values
Raw formation energy = -1.937 eV per atom

=====

[14]
A relaxed Ac2Ce2S7 crystal, computed with PBE.

Lattice parameters (Å, degrees): 4.769 4.769 13.692 90.00 90.00 90.00
Element x y z (fractional)
Ac  0.500  0.000  0.854
S  0.500  0.500  0.272
Ac  0.000  0.500  0.146
S  0.000  0.000  0.258
S  0.500  0.500  0.000
S  0.000  0.000  0.500
S  0.500  0.500  0.500
Ce  0.000  0.500  0.618
S  0.500  0.500  0.728
Ce  0.500  0.000  0.382
S  0.000  0.000  0.742

Calculated values
Raw formation energy = -1.855 eV per atom

=====

[15]
A relaxed Ac4CeS6 crystal, computed with PBE.

Lattice parameters (Å, degrees): 8.409 8.409 8.409 89.69 89.69 90.31
Element x y z (fractional)
Ac  0.750  0.750  0.250
S  0.062  0.914  0.312
S  0.188  0.414  0.438
S  0.438  0.812  0.414
S  0.688  0.062  0.086
Ce  0.500  0.500  0.500
S  0.586  0.438  0.188
Ac  0.374  0.126  0.250
S  0.414  0.562  0.812
S  0.562  0.188  0.586
Ce  0.000  0.000  0.000
S  0.312  0.938  0.914
S  0.086  0.312  0.062
S  0.938  0.086  0.688
Ac  0.126  0.750  0.626
Ac  0.250  0.626  0.126
S  0.812  0.586  0.562
Ac  0.750  0.374  0.874
Ac  0.874  0.250  0.374
S  0.914  0.688  0.938
Ac  0.250  0.250  0.750
Ac  0.626  0.874  0.750

Calculated values
Raw formation energy = -1.942 eV per atom

=====

[16]
A relaxed Ac5Ce3S8 crystal, computed with PBE.

Lattice parameters (Å, degrees): 8.407 8.407 8.433 60.10 60.10 60.00
Element x y z (fractional)
Ce  0.500  0.000  0.500
Ac  0.500  0.500  0.000
Ce  0.000  0.500  0.500
S  0.244  0.244  0.267
S  0.250  0.250  0.738
Ac  0.500  0.000  0.000
Ac  0.000  0.000  0.000
Ac  0.500  0.500  0.500
S  0.250  0.762  0.738
Ac  0.000  0.500  0.000
S  0.238  0.750  0.262
S  0.762  0.250  0.738
Ce  0.000  0.000  0.500
S  0.756  0.756  0.733
S  0.750  0.238  0.262
S  0.750  0.750  0.262

Calculated values
Raw formation energy = -1.998 eV per atom

=====

[17]
A relaxed Ac3CeS4 crystal, computed with PBE.

Lattice parameters (Å, degrees): 7.356 7.375 8.458 90.00 90.00 109.35
Element x y z (fractional)
S  0.494  0.243  0.369
Ac  0.750  0.500  0.627
S  0.500  0.239  0.881
Ac  0.250  0.500  0.373
Ac  0.750  0.500  0.124
Ce  0.250  0.000  0.122
Ac  0.750  0.000  0.373
S  0.506  0.757  0.631
Ac  0.250  0.000  0.627
Ce  0.750  0.000  0.878
S  0.000  0.239  0.119
S  0.006  0.757  0.369
Ac  0.250  0.500  0.876
S  0.994  0.243  0.631
S  0.500  0.761  0.119
S  0.000  0.761  0.881

Calculated values
Raw formation energy = -1.998 eV per atom

=====

[18]
A relaxed AcCe4S6 crystal, computed with PBE.

Lattice parameters (Å, degrees): 4.048 6.958 20.380 90.00 90.00 106.91
Element x y z (fractional)
S  0.678  0.357  0.750
S  0.046  0.092  0.165
S  0.233  0.466  0.910
S  0.046  0.092  0.335
Ce  0.407  0.815  0.375
S  0.233  0.466  0.590
Ce  0.593  0.185  0.625
S  0.767  0.534  0.410
S  0.954  0.908  0.835
Ce  0.407  0.815  0.125
S  0.500  0.000  0.000
Ce  0.862  0.725  0.540
S  0.954  0.908  0.665
Ce  0.138  0.275  0.040
S  0.322  0.643  0.250
Ac  0.340  0.679  0.750
Ce  0.138  0.275  0.460
S  0.767  0.534  0.090
Ac  0.660  0.321  0.250
S  0.500  0.000  0.500
Ce  0.593  0.185  0.875
Ce  0.862  0.725  0.960

Calculated values
Raw formation energy = -2.034 eV per atom

=====

[19]
A relaxed Ac2CeS4 crystal, computed with PBE.

Lattice parameters (Å, degrees): 4.092 7.420 13.849 90.00 90.00 106.01
Element x y z (fractional)
Ac  0.869  0.738  0.573
S  0.221  0.442  0.874
S  0.984  0.968  0.750
Ce  0.375  0.750  0.250
Ac  0.869  0.738  0.927
S  0.779  0.558  0.374
S  0.779  0.558  0.126
S  0.500  0.000  0.000
S  0.221  0.442  0.626
S  0.500  0.000  0.500
S  0.016  0.032  0.250
Ac  0.131  0.262  0.073
Ce  0.625  0.250  0.750
Ac  0.131  0.262  0.427

Calculated values
Raw formation energy = -2.012 eV per atom

=====

[20]
A relaxed Ac3CeS6 crystal, computed with PBE.

Lattice parameters (Å, degrees): 7.435 7.588 7.588 59.80 61.93 61.93
Element x y z (fractional)
S  0.347  0.162  0.657
S  0.891  0.258  0.258
S  0.109  0.742  0.742
S  0.347  0.657  0.162
Ac  0.704  0.751  0.751
Ce  0.500  0.500  0.500
S  0.653  0.838  0.343
S  0.653  0.343  0.838
Ac  0.000  0.000  0.000
Ac  0.296  0.249  0.249

Calculated values
Raw formation energy = -1.994 eV per atom

=====

Q: Which total energy values were calculated for the entries above? A: -28.508, -21.075, -82.745, -131.810, -24.926, -25.801, -52.369, -93.937, -35.631, -72.397, -54.487, -68.634, -140.573, -69.381, -136.988, -103.328, -101.511, -149.972, -89.492, -62.968, in eV/cell.